# 1
Material: Rb2NaTl7
Method: DFT, PBE
State: optimized geometry

Cell lengths 5.408, 5.408, 12.736 Å; angles 90.00, 90.00, 90.00 degrees
Element x y z (fractional)
Rb: 0.000 0.500 0.245
Rb: 0.500 0.000 0.755
Na: 0.000 0.000 0.500
Tl: 0.000 0.000 0.000
Tl: 0.000 0.500 0.627
Tl: 0.000 0.500 0.866
Tl: 0.500 0.000 0.134
Tl: 0.500 0.000 0.373
Tl: 0.500 0.500 0.000
Tl: 0.500 0.500 0.500

Computed properties:
Energy, eV per cell: -20.397
Mass density, g/cm3: 7.24
Formation energy from the elements, eV per atom: -0.058
Total magnetization, Bohr magnetons per cell: 0.000
Crystal system: tetragonal
Space group: P-4m2
DOS(E_F), states/eV/cell: 6.2

***

# 2
Material: Sm8TmTh2
Method: DFT, PBE
State: optimized geometry

Cell lengths 9.331, 9.331, 5.999 Å; angles 105.29, 105.29, 122.03 degrees
Element x y z (fractional)
Sm: 0.100 0.332 0.676
Sm: 0.208 0.792 0.000
Sm: 0.332 0.100 0.676
Sm: 0.420 0.420 0.206
Sm: 0.580 0.580 0.794
Sm: 0.668 0.900 0.324
Sm: 0.792 0.208 0.000
Sm: 0.900 0.668 0.324
Tm: 0.000 0.000 0.000
Th: 0.307 0.693 0.500
Th: 0.693 0.307 0.500

Computed properties:
Energy, eV per cell: -54.882
Mass density, g/cm3: 8.21
Formation energy from the elements, eV per atom: 0.198
Total magnetization, Bohr magnetons per cell: 0.000
Crystal system: monoclinic
Space group: C2/m
DOS(E_F), states/eV/cell: 13.9

***

# 3
Material: BaYTeO6
Method: DFT, PBE
State: optimized geometry

Cell lengths 5.737, 5.737, 5.595 Å; angles 90.00, 90.00, 120.00 degrees
Element x y z (fractional)
Ba: 0.000 0.000 0.000
Y: 0.333 0.667 0.500
Te: 0.667 0.333 0.500
O: 0.399 0.042 0.698
O: 0.399 0.357 0.302
O: 0.643 0.042 0.302
O: 0.643 0.601 0.698
O: 0.958 0.357 0.698
O: 0.958 0.601 0.302

Computed properties:
Energy, eV per cell: -59.817
Mass density, g/cm3: 4.68
Uncorrected formation energy, eV/f.u.: -18.539
Total magnetization, Bohr magnetons per cell: 1.078
Crystal system: trigonal
Space group: P312
DOS(E_F), states/eV/cell: 6.6

***

# 4
Material: LiThGa2Cu2
Method: DFT, PBE
State: optimized geometry

Cell lengths 4.235, 4.235, 6.844 Å; angles 90.00, 90.00, 120.00 degrees
Element x y z (fractional)
Li: 0.000 0.000 0.000
Th: 0.000 0.000 0.500
Ga: 0.333 0.667 0.808
Ga: 0.667 0.333 0.192
Cu: 0.333 0.667 0.195
Cu: 0.667 0.333 0.805

Computed properties:
Energy, eV per cell: -25.600
Mass density, g/cm3: 7.90
Formation energy from the elements, eV per atom: -0.337
Total magnetization, Bohr magnetons per cell: 0.000
Crystal system: trigonal
Space group: P-3m1
DOS(E_F), states/eV/cell: 5.2

***

# 5
Material: Li2Cd2Pd2Au
Method: DFT, PBE
State: optimized geometry

Cell lengths 7.231, 7.231, 7.231 Å; angles 36.26, 36.26, 36.26 degrees
Element x y z (fractional)
Li: 0.064 0.064 0.064
Li: 0.936 0.936 0.936
Cd: 0.227 0.227 0.227
Cd: 0.773 0.773 0.773
Pd: 0.363 0.363 0.363
Pd: 0.637 0.637 0.637
Au: 0.500 0.500 0.500

Computed properties:
Energy, eV per cell: -21.948
Mass density, g/cm3: 9.10
Formation energy from the elements, eV per atom: -0.375
Total magnetization, Bohr magnetons per cell: 0.000
Crystal system: trigonal
Space group: R-3m
DOS(E_F), states/eV/cell: 2.4

***

# 6
Material: BSbO3
Method: DFT, PBE
State: optimized geometry

Cell lengths 5.064, 5.064, 6.911 Å; angles 91.85, 91.85, 120.63 degrees
Element x y z (fractional)
B: 0.016 0.984 0.500
B: 0.984 0.016 0.000
Sb: 0.338 0.660 0.653
Sb: 0.660 0.338 0.153
O: 0.076 0.281 0.478
O: 0.251 0.922 0.479
O: 0.281 0.076 0.978
O: 0.723 0.744 0.526
O: 0.744 0.723 0.026
O: 0.922 0.251 0.979

Computed properties:
Energy, eV per cell: -69.482
Mass density, g/cm3: 3.94
Uncorrected formation energy, eV/f.u.: -9.067
Total magnetization, Bohr magnetons per cell: 0.000
Crystal system: monoclinic
Space group: Cc
DOS(E_F), states/eV/cell: 0.0

***

# 7
Material: Gd2MgRe
Method: DFT, PBE
State: optimized geometry

Cell lengths 3.462, 3.462, 8.323 Å; angles 90.00, 90.00, 90.00 degrees
Element x y z (fractional)
Gd: 0.000 0.000 0.202
Gd: 0.000 0.000 0.798
Mg: 0.500 0.500 0.500
Re: 0.500 0.500 0.000

Computed properties:
Energy, eV per cell: -41.943
Mass density, g/cm3: 8.74
Formation energy from the elements, eV per atom: 0.065
Total magnetization, Bohr magnetons per cell: 14.094
Crystal system: tetragonal
Space group: P4/mmm
ΔE to the lowest computed polymorph, meV per atom: 0
DOS(E_F), states/eV/cell: 3.5

***

# 8
Material: In2HgW
Method: DFT, PBE
State: optimized geometry

Cell lengths 10.100, 10.100, 10.100 Å; angles 17.83, 17.83, 17.83 degrees
Element x y z (fractional)
In: 0.245 0.245 0.245
In: 0.755 0.755 0.755
Hg: 0.000 0.000 0.000
W: 0.500 0.500 0.500

Computed properties:
Energy, eV per cell: -16.706
Mass density, g/cm3: 12.09
Formation energy from the elements, eV per atom: 0.506
Total magnetization, Bohr magnetons per cell: 0.000
Crystal system: trigonal
Space group: R-3m
DOS(E_F), states/eV/cell: 3.2

***

# 9
Material: Mn2AlW
Method: DFT, PBE
State: optimized geometry

Cell lengths 5.453, 5.453, 5.453 Å; angles 103.45, 103.45, 122.33 degrees
Element x y z (fractional)
Mn: 0.110 0.625 0.985
Mn: 0.375 0.360 0.485
Mn: 0.640 0.125 0.015
Mn: 0.875 0.890 0.515
Al: 0.250 0.750 0.500
Al: 0.500 0.500 0.000
W: 0.000 0.000 0.000
W: 0.750 0.250 0.500

Computed properties:
Energy, eV per cell: -65.047
Mass density, g/cm3: 8.87
Formation energy from the elements, eV per atom: 0.628
Total magnetization, Bohr magnetons per cell: 7.019
Crystal system: tetragonal
Space group: I-42d
DOS(E_F), states/eV/cell: 9.2

***

# 10
Material: Pr2ScRuO6
Method: DFT, PBE
State: optimized geometry

Cell lengths 5.681, 8.081, 5.780 Å; angles 90.00, 90.00, 90.00 degrees
Element x y z (fractional)
Pr: 0.250 0.029 0.212
Pr: 0.250 0.471 0.212
Pr: 0.750 0.529 0.788
Pr: 0.750 0.971 0.788
Sc: 0.250 0.250 0.723
Sc: 0.750 0.750 0.277
Ru: 0.250 0.750 0.769
Ru: 0.750 0.250 0.231
O: 0.009 0.250 0.994
O: 0.015 0.250 0.461
O: 0.250 0.501 0.783
O: 0.250 0.999 0.783
O: 0.485 0.250 0.461
O: 0.491 0.250 0.994
O: 0.509 0.750 0.006
O: 0.515 0.750 0.539
O: 0.750 0.001 0.217
O: 0.750 0.499 0.217
O: 0.985 0.750 0.539
O: 0.991 0.750 0.006

Computed properties:
Energy, eV per cell: -161.406
Mass density, g/cm3: 6.56
Uncorrected formation energy, eV/f.u.: -25.787
Total magnetization, Bohr magnetons per cell: 2.049
Crystal system: orthorhombic
Space group: Pmmn
DOS(E_F), states/eV/cell: 7.8

***

# 11
Material: TcOs2Au
Method: DFT, PBE
State: optimized geometry

Cell lengths 4.853, 4.853, 4.853 Å; angles 132.90, 132.90, 68.80 degrees
Element x y z (fractional)
Tc: 0.000 0.000 0.000
Os: 0.500 0.500 0.000
Os: 0.750 0.250 0.500
Au: 0.250 0.750 0.500

Computed properties:
Energy, eV per cell: -34.179
Mass density, g/cm3: 18.62
Formation energy from the elements, eV per atom: 0.481
Total magnetization, Bohr magnetons per cell: 0.000
Crystal system: tetragonal
Space group: I-4m2
ΔE to the lowest computed polymorph, meV per atom: 237
DOS(E_F), states/eV/cell: 4.9

***

# 12
Material: PmGeAu4
Method: DFT, PBE
State: optimized geometry

Cell lengths 5.621, 5.621, 5.621 Å; angles 60.00, 60.00, 60.00 degrees
Element x y z (fractional)
Pm: 0.000 0.000 0.000
Ge: 0.750 0.750 0.750
Au: 0.375 0.375 0.375
Au: 0.375 0.375 0.874
Au: 0.375 0.874 0.375
Au: 0.874 0.375 0.375

Computed properties:
Energy, eV per cell: -24.467
Mass density, g/cm3: 13.30
Formation energy from the elements, eV per atom: -0.332
Total magnetization, Bohr magnetons per cell: 0.000
Crystal system: cubic
Space group: F-43m
ΔE to the lowest computed polymorph, meV per atom: 93
DOS(E_F), states/eV/cell: 3.6

***

# 13
Material: Ta2TePt
Method: DFT, PBE
State: optimized geometry

Cell lengths 5.121, 5.121, 4.912 Å; angles 105.96, 105.96, 37.00 degrees
Element x y z (fractional)
Ta: 0.000 0.000 0.000
Ta: 0.234 0.234 0.651
Te: 0.746 0.746 0.166
Pt: 0.498 0.498 0.513

Computed properties:
Energy, eV per cell: -33.204
Mass density, g/cm3: 15.32
Uncorrected formation energy, eV/f.u.: -0.316
Total magnetization, Bohr magnetons per cell: 0.000
Crystal system: monoclinic
Space group: Cm
DOS(E_F), states/eV/cell: 2.0

***

# 14
Material: PrPuCdSb
Method: DFT, PBE
State: optimized geometry

Cell lengths 5.428, 5.428, 5.428 Å; angles 60.00, 60.00, 60.00 degrees
Element x y z (fractional)
Pr: 0.000 0.000 0.000
Pu: 0.500 0.500 0.500
Cd: 0.250 0.250 0.250
Sb: 0.750 0.750 0.750

Computed properties:
Energy, eV per cell: -25.801
Mass density, g/cm3: 9.09
Uncorrected formation energy, eV/f.u.: -1.652
Total magnetization, Bohr magnetons per cell: 6.758
Crystal system: cubic
Space group: F-43m
DOS(E_F), states/eV/cell: 12.7

***

# 15
Material: LiZn4Ni7
Method: DFT, PBE
State: optimized geometry

Cell lengths 4.954, 4.954, 9.106 Å; angles 116.02, 116.02, 51.16 degrees
Element x y z (fractional)
Li: 0.000 0.000 0.000
Zn: 0.174 0.174 0.775
Zn: 0.414 0.414 0.693
Zn: 0.586 0.586 0.307
Zn: 0.826 0.826 0.225
Ni: 0.121 0.121 0.468
Ni: 0.290 0.290 0.082
Ni: 0.347 0.347 0.379
Ni: 0.500 0.500 0.000
Ni: 0.653 0.653 0.621
Ni: 0.710 0.710 0.918
Ni: 0.879 0.879 0.532

Computed properties:
Energy, eV per cell: -47.009
Mass density, g/cm3: 7.42
Formation energy from the elements, eV per atom: 0.039
Total magnetization, Bohr magnetons per cell: 0.000
Crystal system: monoclinic
Space group: C2/m
DOS(E_F), states/eV/cell: 11.7

***

# 16
Material: Tl2SnBr4
Method: DFT, PBE
State: optimized geometry

Cell lengths 7.838, 8.445, 16.732 Å; angles 90.00, 90.00, 90.00 degrees
Element x y z (fractional)
Tl: 0.008 0.086 0.149
Tl: 0.008 0.414 0.649
Tl: 0.492 0.586 0.149
Tl: 0.492 0.914 0.649
Tl: 0.508 0.086 0.351
Tl: 0.508 0.414 0.851
Tl: 0.992 0.586 0.351
Tl: 0.992 0.914 0.851
Sn: 0.000 0.000 0.500
Sn: 0.000 0.500 0.000
Sn: 0.500 0.000 0.000
Sn: 0.500 0.500 0.500
Br: 0.101 0.034 0.671
Br: 0.101 0.466 0.171
Br: 0.192 0.200 0.964
Br: 0.192 0.300 0.464
Br: 0.308 0.700 0.964
Br: 0.308 0.800 0.464
Br: 0.399 0.534 0.671
Br: 0.399 0.966 0.171
Br: 0.601 0.034 0.829
Br: 0.601 0.466 0.329
Br: 0.692 0.200 0.536
Br: 0.692 0.300 0.036
Br: 0.808 0.700 0.536
Br: 0.808 0.800 0.036
Br: 0.899 0.534 0.829
Br: 0.899 0.966 0.329

Computed properties:
Energy, eV per cell: -84.806
Mass density, g/cm3: 5.08
Uncorrected formation energy, eV/f.u.: -5.775
Total magnetization, Bohr magnetons per cell: 0.000
Crystal system: orthorhombic
Space group: Pbca
ΔE to the lowest computed polymorph, meV per atom: 0
DOS(E_F), states/eV/cell: 0.0

***

# 17
Material: Ho5Ru2Pt
Method: DFT, PBE
State: optimized geometry

Cell lengths 8.564, 8.564, 8.564 Å; angles 128.69, 128.69, 75.51 degrees
Element x y z (fractional)
Ho: 0.000 0.000 0.000
Ho: 0.030 0.530 0.840
Ho: 0.191 0.030 0.500
Ho: 0.309 0.809 0.840
Ho: 0.470 0.309 0.500
Ho: 0.500 0.500 0.000
Ho: 0.530 0.691 0.500
Ho: 0.691 0.191 0.160
Ho: 0.809 0.970 0.500
Ho: 0.970 0.470 0.160
Ru: 0.132 0.368 0.500
Ru: 0.368 0.868 0.235
Ru: 0.632 0.132 0.765
Ru: 0.868 0.632 0.500
Pt: 0.250 0.250 0.000
Pt: 0.750 0.750 0.000

Computed properties:
Energy, eV per cell: -104.618
Mass density, g/cm3: 10.90
Formation energy from the elements, eV per atom: -0.603
Total magnetization, Bohr magnetons per cell: 0.000
Crystal system: tetragonal
Space group: I4/mcm
DOS(E_F), states/eV/cell: 13.5

***

# 18
Material: DyTm4Mg2
Method: DFT, PBE
State: optimized geometry

Cell lengths 17.247, 17.247, 3.425 Å; angles 90.00, 90.00, 168.45 degrees
Element x y z (fractional)
Dy: 0.000 0.000 0.000
Tm: 0.145 0.855 0.000
Tm: 0.426 0.574 0.500
Tm: 0.574 0.426 0.500
Tm: 0.855 0.145 0.000
Mg: 0.287 0.713 0.500
Mg: 0.713 0.287 0.500

Computed properties:
Energy, eV per cell: -25.421
Mass density, g/cm3: 7.22
Formation energy from the elements, eV per atom: 0.037
Total magnetization, Bohr magnetons per cell: 0.000
Crystal system: orthorhombic
Space group: Cmmm
ΔE to the lowest computed polymorph, meV per atom: 0
DOS(E_F), states/eV/cell: 6.5

***

# 19
Material: Pt5Pb3
Method: DFT, PBE
State: optimized geometry

Cell lengths 8.246, 8.246, 7.295 Å; angles 95.16, 95.16, 133.85 degrees
Element x y z (fractional)
Pt: 0.038 0.778 0.652
Pt: 0.197 0.448 0.863
Pt: 0.202 0.202 0.608
Pt: 0.222 0.962 0.348
Pt: 0.448 0.197 0.863
Pt: 0.552 0.803 0.137
Pt: 0.778 0.038 0.652
Pt: 0.798 0.798 0.392
Pt: 0.803 0.552 0.137
Pt: 0.962 0.222 0.348
Pb: 0.211 0.789 0.000
Pb: 0.303 0.697 0.500
Pb: 0.339 0.339 0.189
Pb: 0.661 0.661 0.811
Pb: 0.697 0.303 0.500
Pb: 0.789 0.211 0.000

Computed properties:
Energy, eV per cell: -83.947
Mass density, g/cm3: 15.24
Formation energy from the elements, eV per atom: -0.081
Total magnetization, Bohr magnetons per cell: 0.000
Crystal system: monoclinic
Space group: C2/m
ΔE to the lowest computed polymorph, meV per atom: 0
DOS(E_F), states/eV/cell: 7.8

***

# 20
Material: Zr2ScCu
Method: DFT, PBE
State: optimized geometry

Cell lengths 3.209, 3.209, 7.950 Å; angles 90.00, 90.00, 90.00 degrees
Element x y z (fractional)
Zr: 0.000 0.000 0.000
Zr: 0.500 0.500 0.277
Sc: 0.500 0.500 0.711
Cu: 0.000 0.000 0.498

Computed properties:
Energy, eV per cell: -27.941
Mass density, g/cm3: 5.90
Formation energy from the elements, eV per atom: -0.104
Total magnetization, Bohr magnetons per cell: 0.000
Crystal system: tetragonal
Space group: P4mm
ΔE to the lowest computed polymorph, meV per atom: 11
DOS(E_F), states/eV/cell: 4.9